#a
# KH3Rh | the Alexandria database | PBE | relaxed
# crystal system = cubic
# space group = No. 221
# mass density = 3.312 Mg/m³
data_KH3Rh
_cell_length_a 4.174
_cell_length_b 4.174
_cell_length_c 4.174
_cell_angle_alpha 90.00
_cell_angle_beta 90.00
_cell_angle_gamma 90.00
_symmetry_space_group_name_H-M 'P 1'
_symmetry_Int_Tables_number 1
loop_
_symmetry_equiv_pos_as_xyz
'x,y,z'
loop_
_atom_site_label
_atom_site_type_symbol
_atom_site_fract_x
_atom_site_fract_y
_atom_site_fract_z
K1 K 0.000 0.000 0.000
H1 H 0.000 0.000 0.500
H2 H 0.000 0.500 0.000
H3 H 0.500 0.000 0.000
Rh1 Rh 0.500 0.500 0.500

=====

#b
# KH3Rh | the Alexandria database | PBE | relaxed
# crystal system = trigonal
# space group = No. 148
# mass density = 3.790 Mg/m³
data_KH3Rh
_cell_length_a 6.185
_cell_length_b 6.185
_cell_length_c 6.185
_cell_angle_alpha 49.82
_cell_angle_beta 49.82
_cell_angle_gamma 49.82
_symmetry_space_group_name_H-M 'P 1'
_symmetry_Int_Tables_number 1
loop_
_symmetry_equiv_pos_as_xyz
'x,y,z'
loop_
_atom_site_label
_atom_site_type_symbol
_atom_site_fract_x
_atom_site_fract_y
_atom_site_fract_z
K1 K 0.122 0.122 0.122
K2 K 0.878 0.878 0.878
H1 H 0.045 0.455 0.647
H2 H 0.353 0.955 0.545
H3 H 0.455 0.647 0.045
H4 H 0.545 0.353 0.955
H5 H 0.647 0.045 0.455
H6 H 0.955 0.545 0.353
Rh1 Rh 0.334 0.334 0.334
Rh2 Rh 0.666 0.666 0.666

=====

#c
# KH3Rh | the Alexandria database | PBE | relaxed
# crystal system = monoclinic
# space group = No. 14
# mass density = 3.162 Mg/m³
data_KH3Rh
_cell_length_a 6.429
_cell_length_b 5.116
_cell_length_c 9.988
_cell_angle_alpha 90.00
_cell_angle_beta 111.95
_cell_angle_gamma 90.00
_symmetry_space_group_name_H-M 'P 1'
_symmetry_Int_Tables_number 1
loop_
_symmetry_equiv_pos_as_xyz
'x,y,z'
loop_
_atom_site_label
_atom_site_type_symbol
_atom_site_fract_x
_atom_site_fract_y
_atom_site_fract_z
K1 K 0.203 0.193 0.179
K2 K 0.203 0.307 0.679
K3 K 0.797 0.693 0.321
K4 K 0.797 0.807 0.821
H1 H 0.187 0.610 0.907
H2 H 0.187 0.890 0.407
H3 H 0.298 0.065 0.940
H4 H 0.298 0.435 0.440
H5 H 0.475 0.002 0.591
H6 H 0.475 0.498 0.091
H7 H 0.525 0.502 0.909
H8 H 0.525 0.998 0.409
H9 H 0.702 0.565 0.560
H10 H 0.702 0.935 0.060
H11 H 0.813 0.110 0.593
H12 H 0.813 0.390 0.093
Rh1 Rh 0.421 0.742 0.477
Rh2 Rh 0.421 0.758 0.977
Rh3 Rh 0.579 0.242 0.023
Rh4 Rh 0.579 0.258 0.523

=====

#d
# KH3Rh | the Alexandria database | PBE | relaxed
# crystal system = tetragonal
# space group = No. 119
# mass density = 3.761 Mg/m³
data_KH3Rh
_cell_length_a 10.726
_cell_length_b 10.726
_cell_length_c 10.726
_cell_angle_alpha 161.20
_cell_angle_beta 161.20
_cell_angle_gamma 26.71
_symmetry_space_group_name_H-M 'P 1'
_symmetry_Int_Tables_number 1
loop_
_symmetry_equiv_pos_as_xyz
'x,y,z'
loop_
_atom_site_label
_atom_site_type_symbol
_atom_site_fract_x
_atom_site_fract_y
_atom_site_fract_z
K1 K 0.000 0.000 0.000
K2 K 0.750 0.250 0.500
H1 H 0.275 0.128 0.147
H2 H 0.356 0.356 0.000
H3 H 0.644 0.644 0.000
H4 H 0.872 0.018 0.147
H5 H 0.872 0.725 0.853
H6 H 0.982 0.128 0.853
Rh1 Rh 0.131 0.631 0.500
Rh2 Rh 0.369 0.869 0.500

=====

What should be chosen as the least stable of them? Choose #a.

=====

#a
# KH3Rh | the Alexandria database | PBE | relaxed
# crystal system = hexagonal
# space group = No. 194
# mass density = 4.256 Mg/m³
data_KH3Rh
_cell_length_a 3.202
_cell_length_b 3.202
_cell_length_c 12.747
_cell_angle_alpha 90.00
_cell_angle_beta 90.00
_cell_angle_gamma 120.00
_symmetry_space_group_name_H-M 'P 1'
_symmetry_Int_Tables_number 1
loop_
_symmetry_equiv_pos_as_xyz
'x,y,z'
loop_
_atom_site_label
_atom_site_type_symbol
_atom_site_fract_x
_atom_site_fract_y
_atom_site_fract_z
K1 K 0.000 0.000 0.000
K2 K 0.000 0.000 0.500
H1 H 0.000 0.000 0.250
H2 H 0.000 0.000 0.750
H3 H 0.333 0.667 0.121
H4 H 0.333 0.667 0.379
H5 H 0.667 0.333 0.621
H6 H 0.667 0.333 0.879
Rh1 Rh 0.333 0.667 0.250
Rh2 Rh 0.667 0.333 0.750

=====

#b
# KH3Rh | the Alexandria database | PBE | relaxed
# crystal system = cubic
# space group = No. 227
# mass density = 4.266 Mg/m³
data_KH3Rh
_cell_length_a 6.835
_cell_length_b 6.835
_cell_length_c 6.835
_cell_angle_alpha 60.00
_cell_angle_beta 60.00
_cell_angle_gamma 60.00
_symmetry_space_group_name_H-M 'P 1'
_symmetry_Int_Tables_number 1
loop_
_symmetry_equiv_pos_as_xyz
'x,y,z'
loop_
_atom_site_label
_atom_site_type_symbol
_atom_site_fract_x
_atom_site_fract_y
_atom_site_fract_z
K1 K 0.000 0.000 0.000
K2 K 0.000 0.000 0.500
K3 K 0.000 0.500 0.000
K4 K 0.500 0.000 0.000
H1 H 0.198 0.198 0.552
H2 H 0.198 0.552 0.198
H3 H 0.198 0.552 0.552
H4 H 0.448 0.448 0.802
H5 H 0.448 0.802 0.448
H6 H 0.448 0.802 0.802
H7 H 0.552 0.198 0.198
H8 H 0.552 0.198 0.552
H9 H 0.552 0.552 0.198
H10 H 0.802 0.448 0.448
H11 H 0.802 0.448 0.802
H12 H 0.802 0.802 0.448
Rh1 Rh 0.000 0.500 0.500
Rh2 Rh 0.500 0.000 0.500
Rh3 Rh 0.500 0.500 0.000
Rh4 Rh 0.500 0.500 0.500

=====

#c
# KH3Rh | the Alexandria database | PBE | relaxed
# crystal system = monoclinic
# space group = No. 11
# mass density = 4.278 Mg/m³
data_KH3Rh
_cell_length_a 3.578
_cell_length_b 5.818
_cell_length_c 5.408
_cell_angle_alpha 90.00
_cell_angle_beta 90.00
_cell_angle_gamma 90.00
_symmetry_space_group_name_H-M 'P 1'
_symmetry_Int_Tables_number 1
loop_
_symmetry_equiv_pos_as_xyz
'x,y,z'
loop_
_atom_site_label
_atom_site_type_symbol
_atom_site_fract_x
_atom_site_fract_y
_atom_site_fract_z
K1 K 0.001 0.250 0.498
K2 K 0.999 0.750 0.502
H1 H 0.000 0.250 0.998
H2 H 0.000 0.750 0.002
H3 H 0.500 0.000 0.195
H4 H 0.500 0.000 0.805
H5 H 0.500 0.500 0.195
H6 H 0.500 0.500 0.805
Rh1 Rh 0.500 0.250 0.999
Rh2 Rh 0.500 0.750 0.001

=====

What should be chosen as the least stable of them? Choose #a.

=====

#a
# KH3Rh | the Alexandria database | PBE | relaxed
# crystal system = monoclinic
# space group = No. 11
# mass density = 4.362 Mg/m³
data_KH3Rh
_cell_length_a 3.055
_cell_length_b 4.654
_cell_length_c 7.916
_cell_angle_alpha 90.00
_cell_angle_beta 101.11
_cell_angle_gamma 90.00
_symmetry_space_group_name_H-M 'P 1'
_symmetry_Int_Tables_number 1
loop_
_symmetry_equiv_pos_as_xyz
'x,y,z'
loop_
_atom_site_label
_atom_site_type_symbol
_atom_site_fract_x
_atom_site_fract_y
_atom_site_fract_z
K1 K 0.073 0.250 0.146
K2 K 0.927 0.750 0.854
H1 H 0.207 0.525 0.413
H2 H 0.207 0.975 0.413
H3 H 0.409 0.250 0.819
H4 H 0.591 0.750 0.181
H5 H 0.793 0.025 0.587
H6 H 0.793 0.475 0.587
Rh1 Rh 0.297 0.250 0.594
Rh2 Rh 0.703 0.750 0.406

=====

#b
# KH3Rh | the Alexandria database | PBE | relaxed
# crystal system = orthorhombic
# space group = No. 63
# mass density = 3.415 Mg/m³
data_KH3Rh
_cell_length_a 9.877
_cell_length_b 9.877
_cell_length_c 4.894
_cell_angle_alpha 90.00
_cell_angle_beta 90.00
_cell_angle_gamma 162.82
_symmetry_space_group_name_H-M 'P 1'
_symmetry_Int_Tables_number 1
loop_
_symmetry_equiv_pos_as_xyz
'x,y,z'
loop_
_atom_site_label
_atom_site_type_symbol
_atom_site_fract_x
_atom_site_fract_y
_atom_site_fract_z
K1 K 0.123 0.877 0.750
K2 K 0.877 0.123 0.250
H1 H 0.000 0.000 0.000
H2 H 0.000 0.000 0.500
H3 H 0.104 0.635 0.250
H4 H 0.365 0.896 0.250
H5 H 0.635 0.104 0.750
H6 H 0.896 0.365 0.750
Rh1 Rh 0.479 0.521 0.750
Rh2 Rh 0.521 0.479 0.250

=====

What should be chosen as the least stable of them? Choose #b.